Entry i
TbDy2Al6: relaxed, PBE-GGA.

Cell: 7.911 7.911 3.486 Å, 90.00 90.00 120.00°
Fractional coordinates of all 9 atoms:
Tb 0.000 0.000 0.000
Dy 0.333 0.667 0.000
Dy 0.667 0.333 0.000
Al 0.000 0.334 0.500
Al 0.000 0.666 0.500
Al 0.334 0.000 0.500
Al 0.334 0.334 0.500
Al 0.666 0.000 0.500
Al 0.666 0.666 0.500

## Properties
As for the crystal system: hexagonal. Its space-group type is P6/mmm.

---

Entry ii
TbDy2Al6: relaxed, PBE-GGA.

Cell: 7.955 7.955 7.955 Å, 148.02 126.89 63.36°
Fractional coordinates of all 9 atoms:
Tb 0.000 0.000 0.000
Dy 0.376 0.876 0.500
Dy 0.624 0.124 0.500
Al 0.009 0.315 0.694
Al 0.312 0.500 0.812
Al 0.379 0.685 0.694
Al 0.621 0.315 0.306
Al 0.688 0.500 0.188
Al 0.991 0.685 0.306

## Properties
As for the crystal system: orthorhombic. Its space-group type is Immm.

---

Short version: entry ii is the least stable of them.

---

Entry i
Tb8DyAl2: relaxed, PBE-GGA.

Cell: 8.558 8.558 5.606 Å, 101.79 101.79 118.25°
Fractional coordinates of all 11 atoms:
Tb 0.088 0.325 0.612
Tb 0.223 0.777 0.000
Tb 0.325 0.088 0.612
Tb 0.404 0.404 0.205
Tb 0.596 0.596 0.795
Tb 0.675 0.912 0.388
Tb 0.777 0.223 0.000
Tb 0.912 0.675 0.388
Dy 0.000 0.000 0.000
Al 0.308 0.692 0.500
Al 0.692 0.308 0.500

## Properties
As for the crystal system: monoclinic. Its space-group type is C2/m.

---

Entry ii
Tb8DyAl2: relaxed, PBE-GGA.

Cell: 8.651 8.651 8.223 Å, 112.92 112.92 34.86°
Fractional coordinates of all 11 atoms:
Tb 0.055 0.055 0.233
Tb 0.153 0.153 0.720
Tb 0.312 0.312 0.549
Tb 0.389 0.389 0.029
Tb 0.611 0.611 0.971
Tb 0.688 0.688 0.451
Tb 0.847 0.847 0.280
Tb 0.945 0.945 0.767
Dy 0.500 0.500 0.500
Al 0.224 0.224 0.142
Al 0.776 0.776 0.858

## Properties
As for the crystal system: monoclinic. Its space-group type is C2/m.

---

Short version: entry i is the least stable of them.

---

Entry i
Tb2DyAl: relaxed, PBE-GGA.

Cell: 11.665 11.665 11.665 Å, 17.09 17.09 17.09°
Fractional coordinates of all 4 atoms:
Tb 0.100 0.100 0.100
Tb 0.900 0.900 0.900
Dy 0.000 0.000 0.000
Al 0.500 0.500 0.500

## Properties
As for the crystal system: trigonal. Its space-group type is R-3m.

---

Entry ii
Tb2DyAl: relaxed, PBE-GGA.

Cell: 10.635 10.635 10.635 Å, 19.45 19.45 19.45°
Fractional coordinates of all 4 atoms:
Tb 0.000 0.000 0.000
Tb 0.188 0.188 0.188
Dy 0.427 0.427 0.427
Al 0.594 0.594 0.594

## Properties
As for the crystal system: trigonal. Its space-group type is R3m.

---

Entry iii
Tb2DyAl: relaxed, PBE-GGA.

Cell: 4.772 4.772 4.773 Å, 90.00 90.00 90.00°
Fractional coordinates of all 4 atoms:
Tb 0.000 0.500 0.000
Tb 0.500 0.000 0.000
Dy 0.000 0.000 0.500
Al 0.500 0.500 0.500

## Properties
As for the crystal system: tetragonal. Its space-group type is P4/mmm.

---

Entry iv
Tb2DyAl: relaxed, PBE-GGA.

Cell: 3.509 3.509 9.081 Å, 90.00 90.00 90.00°
Fractional coordinates of all 4 atoms:
Tb 0.000 0.000 0.215
Tb 0.000 0.000 0.785
Dy 0.500 0.500 0.500
Al 0.500 0.500 0.000

## Properties
As for the crystal system: tetragonal. Its space-group type is P4/mmm.

---

Short version: entry i is the least stable of them.